LaMg2C after structural relaxation. Source: Alexandria via LeMat-Bulk, functional PBE.

Computed properties:
Density, g/cm³: 3.165
E_tot, eV/cell: -29.51
Space-group type: I4_1/amd
Size of the total moment, μB per formula unit: 0.94

Unit cell a=6.671 b=6.671 c=6.662 alpha=59.96 beta=59.96 gamma=90.00
Fractional coordinates of all 8 atoms:
Mg 0.375 0.125 0.250
Mg 0.375 0.625 0.250
Mg 0.375 0.625 0.750
Mg 0.875 0.625 0.750
C 0.500 0.500 0.000
C 0.250 0.750 0.500
La 0.000 0.000 0.000
La 0.750 0.250 0.500

La2MgC after structural relaxation. Source: Alexandria via LeMat-Bulk, functional PBE.

Computed properties:
Density, g/cm³: 5.590
E_tot, eV/cell: -17.85
Space-group type: Fm-3m
Size of the total moment, μB per formula unit: 0.00

Unit cell a=5.091 b=5.091 c=5.091 alpha=60.00 beta=60.00 gamma=60.00
Fractional coordinates of all 4 atoms:
Mg 0.500 0.500 0.500
C 0.000 0.000 0.000
La 0.250 0.250 0.250
La 0.750 0.750 0.750

La2MgC after structural relaxation. Source: Alexandria via LeMat-Bulk, functional PBE.

Computed properties:
Density, g/cm³: 4.493
E_tot, eV/cell: -20.55
Space-group type: R-3m
Size of the total moment, μB per formula unit: 0.00

Unit cell a=3.629 b=3.629 c=10.392 alpha=79.94 beta=79.94 gamma=60.00
Fractional coordinates of all 4 atoms:
Mg 0.000 0.000 0.000
C 0.500 0.500 0.500
La 0.119 0.119 0.644
La 0.881 0.881 0.356

La2MgC after structural relaxation. Source: Alexandria via LeMat-Bulk, functional PBE.

Computed properties:
Density, g/cm³: 4.352
E_tot, eV/cell: -40.19
Space-group type: I-42d
Size of the total moment, μB per formula unit: 0.00

Unit cell a=7.539 b=7.539 c=6.798 alpha=56.32 beta=56.32 gamma=90.00
Fractional coordinates of all 8 atoms:
Mg 0.000 0.000 0.000
Mg 0.750 0.250 0.500
C 0.500 0.500 0.000
C 0.250 0.750 0.500
La 0.526 0.125 0.250
La 0.224 0.625 0.250
La 0.375 0.474 0.750
La 0.875 0.776 0.750

LaMg3C after structural relaxation. Source: Alexandria via LeMat-Bulk, functional PBE.

Computed properties:
Density, g/cm³: 3.500
E_tot, eV/cell: -16.91
Space-group type: Pm-3m
Size of the total moment, μB per formula unit: 0.00

Unit cell a=4.736 b=4.736 c=4.736 alpha=90.00 beta=90.00 gamma=90.00
Fractional coordinates of all 5 atoms:
Mg 0.000 0.500 0.000
Mg 0.000 0.000 0.500
Mg 0.500 0.000 0.000
C 0.000 0.000 0.000
La 0.500 0.500 0.500

LaMg2MnC after structural relaxation. Source: Alexandria via LeMat-Bulk, functional PBE.

Computed properties:
Density, g/cm³: 2.411
E_tot, eV/cell: -13.98
Space-group type: P4/mmm
Size of the total moment, μB per formula unit: 3.68

Unit cell a=6.213 b=4.540 c=6.213 alpha=90.00 beta=90.00 gamma=90.00
Fractional coordinates of all 5 atoms:
Mg 0.000 0.000 0.500
Mg 0.500 0.000 0.000
Mn 0.000 0.500 0.000
C 0.500 0.500 0.500
La 0.000 0.000 0.000

La2MgMnC after structural relaxation. Source: Alexandria via LeMat-Bulk, functional PBE.

Computed properties:
Density, g/cm³: 5.358
E_tot, eV/cell: -30.14
Space-group type: P4/mmm
Size of the total moment, μB per formula unit: 1.63

Unit cell a=5.454 b=5.454 c=3.844 alpha=90.00 beta=90.00 gamma=90.00
Fractional coordinates of all 5 atoms:
Mg 0.500 0.500 0.500
Mn 0.000 0.000 0.500
C 0.000 0.000 0.000
La 0.000 0.500 0.000
La 0.500 0.000 0.000

La2MgMoC after structural relaxation. Source: Alexandria via LeMat-Bulk, functional PBE.

Computed properties:
Density, g/cm³: 5.676
E_tot, eV/cell: -31.26
Space-group type: P4/mmm
Size of the total moment, μB per formula unit: 0.72

Unit cell a=5.392 b=5.392 c=4.126 alpha=90.00 beta=90.00 gamma=90.00
Fractional coordinates of all 5 atoms:
C 0.000 0.000 0.000
Mo 0.000 0.000 0.500
Mg 0.500 0.500 0.500
La 0.000 0.500 0.000
La 0.500 0.000 0.000

Among the records above, which one has the highest E_tot? LaMg2MnC

Copy entry 1 word for word.
LaMg2C after structural relaxation. Source: Alexandria via LeMat-Bulk, functional PBE.

Computed properties:
Density, g/cm³: 3.165
E_tot, eV/cell: -29.51
Space-group type: I4_1/amd
Size of the total moment, μB per formula unit: 0.94

Unit cell a=6.671 b=6.671 c=6.662 alpha=59.96 beta=59.96 gamma=90.00
Fractional coordinates of all 8 atoms:
Mg 0.375 0.125 0.250
Mg 0.375 0.625 0.250
Mg 0.375 0.625 0.750
Mg 0.875 0.625 0.750
C 0.500 0.500 0.000
C 0.250 0.750 0.500
La 0.000 0.000 0.000
La 0.750 0.250 0.500

Which value of density does entry 1 give? 3.165 g/cm³